No. 1
A relaxed structure of Li4V3CrO8, computed with GGA-PBEsol.

- Formation energy without anion corrections: -35.0 eV/f.u.
- Offset from the most stable computed form: 0.061 eV/atom
- Spin magnetization: 25.20 μB/cell

Lattice parameters (Å, degrees): 5.7548 5.7548 14.4483 90.00 90.00 120.00
Space group R-3m (No. 166, hexagonal axes)
Inequivalent atoms, fractional coordinates:
Li  0.0000  0.0000  0.0000
Li  0.0000  0.5000  0.0000
V  0.0000  0.5000  0.5000
Cr  0.0000  0.0000  0.5000
O  0.0000  0.0000  0.2457
O  0.0027  0.5013  0.2435


No. 2
A relaxed structure of Li4V5Cr3O16, computed with GGA-PBEsol.

- Formation energy without anion corrections: -62.1 eV/f.u.
- Spin magnetization: 30.07 μB/cell

Lattice parameters (Å, degrees): 9.924 5.736 9.341 90.00 90.20 90.00
Space group Cm (No. 8)
Inequivalent atoms, fractional coordinates:
Li  0.000  0.000  0.000
Li  0.003  0.000  0.500
Li  0.170  0.500  0.603
Li  0.337  0.000  0.106
V  0.169  0.500  0.006
V  0.328  0.500  0.281
V  0.335  0.000  0.502
V  0.415  0.237  0.781
Cr  0.088  0.256  0.283
Cr  0.171  0.000  0.784
O  0.000  0.000  0.189
O  0.024  0.500  0.156
O  0.082  0.257  0.894
O  0.171  0.000  0.396
O  0.172  0.500  0.396
O  0.243  0.281  0.151
O  0.262  0.217  0.654
O  0.332  0.500  0.891
O  0.335  0.000  0.899
O  0.416  0.249  0.393
O  0.483  0.000  0.648
O  0.498  0.500  0.689


No. 3
A relaxed structure of Li10V3Cr5O16, computed with GGA-PBEsol.

- Formation energy without anion corrections: -65.4 eV/f.u.
- Spin magnetization: 45.41 μB/cell

Lattice parameters (Å, degrees): 10.257 5.806 9.652 90.00 90.04 90.00
Space group Cm (No. 8)
Inequivalent atoms, fractional coordinates:
Li  0.000  0.000  0.000
Li  0.004  0.000  0.499
Li  0.106  0.288  0.926
Li  0.172  0.500  0.710
Li  0.200  0.000  0.429
Li  0.309  0.500  0.929
Li  0.331  0.000  0.210
Li  0.404  0.210  0.428
V  0.085  0.258  0.197
V  0.173  0.000  0.698
Cr  0.168  0.500  0.459
Cr  0.333  0.500  0.199
Cr  0.336  0.000  0.958
Cr  0.420  0.247  0.699
O  0.001  0.000  0.808
O  0.013  0.500  0.327
O  0.084  0.249  0.577
O  0.165  0.000  0.072
O  0.173  0.500  0.078
O  0.248  0.266  0.321
O  0.263  0.236  0.820
O  0.339  0.500  0.578
O  0.340  0.000  0.582
O  0.416  0.252  0.077
O  0.494  0.000  0.822
O  0.496  0.500  0.308


No. 4
A relaxed structure of Li3VCr2O6, computed with GGA-PBEsol.

- Formation energy without anion corrections: -25.2 eV/f.u.
- Spin magnetization: 16.01 μB/cell

Lattice parameters (Å, degrees): 12.745 2.885 5.823 90.00 102.78 90.00
Space group C2/m (No. 12)
Inequivalent atoms, fractional coordinates:
Li  0.000  0.000  0.000
Li  0.168  0.500  0.333
V  0.000  0.000  0.500
Cr  0.167  0.500  0.834
O  0.006  0.500  0.743
O  0.162  0.000  0.598
O  0.173  0.000  0.071


No. 5
A relaxed structure of Li4V3CrO8, computed with GGA-PBEsol.

- Formation energy without anion corrections: -35.0 eV/f.u.
- Offset from the most stable computed form: 0.060 eV/atom
- Spin magnetization: 16.69 μB/cell

Lattice parameters (Å, degrees): 9.960 5.750 5.096 90.00 109.00 90.00
Space group C2/m (No. 12)
Inequivalent atoms, fractional coordinates:
Li  0.000  0.249  0.000
Li  0.249  0.000  0.999
V  0.000  0.500  0.500
V  0.250  0.250  0.500
Cr  0.000  0.000  0.500
O  0.121  0.248  0.731
O  0.127  0.000  0.269
O  0.127  0.500  0.263


No. 6
A relaxed structure of Li3V5Cr2O12, computed with GGA-PBEsol.

- Formation energy without anion corrections: -47.2 eV/f.u.
- Spin magnetization: 20.05 μB/cell

Lattice parameters (Å, degrees): 4.945 8.580 9.586 90.00 102.44 90.00
Space group C2 (No. 5)
Inequivalent atoms, fractional coordinates:
Li  0.000  0.000  0.000
Li  0.246  0.832  0.243
V  0.000  0.346  0.000
V  0.000  0.493  0.500
V  0.000  0.858  0.500
V  0.249  0.659  0.750
Cr  0.000  0.149  0.500
Cr  0.000  0.664  0.000
O  0.114  0.185  0.884
O  0.114  0.319  0.382
O  0.116  0.675  0.389
O  0.120  0.002  0.367
O  0.126  0.508  0.880
O  0.129  0.816  0.879


No. 7
A relaxed structure of Li3VCr4O8, computed with GGA-PBEsol.

- Formation energy without anion corrections: -30.5 eV/f.u.
- Spin magnetization: 19.59 μB/cell

Lattice parameters (Å, degrees): 9.939 5.798 5.779 90.00 123.76 90.00
Space group C2/m (No. 12)
Inequivalent atoms, fractional coordinates:
Li  0.000  0.000  0.000
Li  0.250  0.250  0.000
V  0.000  0.500  0.500
Cr  0.000  0.000  0.500
Cr  0.000  0.500  0.000
Cr  0.250  0.250  0.500
O  0.007  0.249  0.256
O  0.246  0.500  0.734
O  0.250  0.000  0.737


No. 8
A relaxed structure of Li3V2CrO6, computed with GGA-PBEsol.

- Formation energy without anion corrections: -26.8 eV/f.u.
- Spin magnetization: 6.54 μB/cell

Lattice parameters (Å, degrees): 12.838 2.795 5.813 90.00 106.98 90.00
Space group C2/m (No. 12)
Inequivalent atoms, fractional coordinates:
Li  0.000  0.000  0.000
Li  0.163  0.500  0.347
V  0.179  0.500  0.865
Cr  0.000  0.000  0.500
O  0.010  0.500  0.740
O  0.162  0.000  0.092
O  0.162  0.000  0.608